{
  "formula": "ErPu",
  "functional": "GGA-PBE",
  "state": "optimized geometry",
  "polymorph_energy_ev_per_atom": 0.000,
  "spacegroup": "P6_3/mmc (194)",
  "ef_kj_per_mol_fu": 14,
  "lattice_angstrom": [[3.415, 0.000, 0.000], [-1.707, 2.957, 0.000], [0.000, 0.000, 11.450]],
  "species": ["Er", "Er", "Pu", "Pu"],
  "fractional_positions": [[0.000, 0.000, 0.500], [0.000, 0.000, 0.000], [0.333, 0.667, 0.250], [0.667, 0.333, 0.750]]
}